# HfFe2SbMo meta-GGA SCAN single point on PBEsol structure
# Total moment ... 3.2 μB per formula unit
# Formation energy (no corrections) ... 1.12 eV per atom
# Calculated volume ... 19.1 A^3/atom
# Total energy ... -33.093 eV per atom
data_HfFe2SbMo
_cell_length_a 4.3545
_cell_length_b 4.3545
_cell_length_c 5.0310
_cell_angle_alpha 90.00
_cell_angle_beta 90.00
_cell_angle_gamma 90.00
_symmetry_space_group_name_H-M 'P 4/m m m'
_symmetry_Int_Tables_number 123
_symmetry_space_group_name_Hall '-P 4 2'
loop_
_atom_site_label
_atom_site_type_symbol
_atom_site_fract_x
_atom_site_fract_y
_atom_site_fract_z
_atom_site_occupancy
Hf1 Hf 0.0000 0.0000 0.0000 1
Fe1 Fe 0.0000 0.5000 0.5000 1
Sb1 Sb 0.5000 0.5000 0.0000 1
Mo1 Mo 0.5000 0.5000 0.5000 1

=====

# HfFeN2 meta-GGA SCAN single point on PBEsol structure
# Total moment ... 0.0 μB per formula unit
# Formation energy (no corrections) ... -0.88 eV per atom
# Calculated volume ... 9.4 A^3/atom
# Total energy ... -25.721 eV per atom
data_HfFeN2
_cell_length_a 3.0665
_cell_length_b 3.0665
_cell_length_c 9.2031
_cell_angle_alpha 90.00
_cell_angle_beta 90.00
_cell_angle_gamma 120.00
_symmetry_space_group_name_H-M 'P 63/m m c'
_symmetry_Int_Tables_number 194
_symmetry_space_group_name_Hall '-P 6c 2c'
loop_
_atom_site_label
_atom_site_type_symbol
_atom_site_fract_x
_atom_site_fract_y
_atom_site_fract_z
_atom_site_occupancy
Hf1 Hf 0.3333 0.6667 0.2500 1
Fe1 Fe 0.0000 0.0000 0.0000 1
N1 N 0.3333 0.6667 0.6056 1

=====

# Hf3FeN meta-GGA SCAN single point on PBEsol structure
# Total moment ... 0.0 μB per formula unit
# Formation energy (no corrections) ... 1.11 eV per atom
# Calculated volume ... 19.8 A^3/atom
# Total energy ... -41.983 eV per atom
data_Hf3FeN
_cell_length_a 4.6284
_cell_length_b 4.6284
_cell_length_c 4.6284
_cell_angle_alpha 90.00
_cell_angle_beta 90.00
_cell_angle_gamma 90.00
_symmetry_space_group_name_H-M 'P m -3 m'
_symmetry_Int_Tables_number 221
_symmetry_space_group_name_Hall '-P 4 2 3'
loop_
_atom_site_label
_atom_site_type_symbol
_atom_site_fract_x
_atom_site_fract_y
_atom_site_fract_z
_atom_site_occupancy
Hf1 Hf 0.0000 0.0000 0.5000 1
Fe1 Fe 0.0000 0.0000 0.0000 1
N1 N 0.5000 0.5000 0.5000 1

=====

# HfFeTeN2 meta-GGA SCAN single point on PBEsol structure
# Total moment ... 2.6 μB per formula unit
# Formation energy (no corrections) ... 0.78 eV per atom
# Calculated volume ... 14.3 A^3/atom
# Total energy ... -26.545 eV per atom
data_HfFeTeN2
_cell_length_a 3.8451
_cell_length_b 3.8451
_cell_length_c 4.8472
_cell_angle_alpha 90.00
_cell_angle_beta 90.00
_cell_angle_gamma 90.00
_symmetry_space_group_name_H-M 'P 4/m m m'
_symmetry_Int_Tables_number 123
_symmetry_space_group_name_Hall '-P 4 2'
loop_
_atom_site_label
_atom_site_type_symbol
_atom_site_fract_x
_atom_site_fract_y
_atom_site_fract_z
_atom_site_occupancy
Hf1 Hf 0.0000 0.0000 0.0000 1
Fe1 Fe 0.5000 0.5000 0.5000 1
Te1 Te 0.5000 0.5000 0.0000 1
N1 N 0.0000 0.5000 0.5000 1